[1]
Compound: Ba3VAs
Source: Alexandria via LeMat-Bulk
Functional: GGA-PBE
Structure: optimized geometry

energy of formation from the pure elements = 0.130 eV/atom
SG = No. 221
energy relative to the lowest polymorph listed for this composition = 0 meV/atom

abc: 6.3359 6.3359 6.3359
angles: 90.00 90.00 90.00
Closest atoms and distances in Å follow each position.
Element x y z (fractional)
Ba1 0.5000 0.0000 0.0000  2 As 3.17
Ba2 0.0000 0.5000 0.0000  2 As 3.17
Ba3 0.0000 0.0000 0.5000  2 As 3.17
As1 0.0000 0.0000 0.0000  6 Ba 3.17
V1 0.5000 0.5000 0.5000  12 Ba 4.48

[2]
Compound: TbYErSc2
Source: Alexandria via LeMat-Bulk
Functional: GGA-PBE
Structure: optimized geometry

energy of formation from the pure elements = 0.387 eV/atom
SG = No. 63

abc: 6.9567 7.8507 6.8501
angles: 124.96 90.00 90.00
Closest atoms and distances in Å follow each position.
Element x y z (fractional)
Y1 0.2500 0.0008 0.0015  4 Sc 3.04, 1 Tb 3.15, 1 Er 3.18
Y2 0.7500 0.9992 0.9985  4 Sc 3.04, 1 Tb 3.15, 1 Er 3.18
Tb1 0.7500 0.2799 0.5598  1 Y 3.15, 4 Sc 3.35, 2 Er 3.48
Tb2 0.2500 0.7201 0.4402  1 Y 3.15, 4 Sc 3.35, 2 Er 3.48
Sc1 0.5000 0.3172 0.0000  1 Sc 2.87, 2 Y 3.04
Sc2 0.0000 0.3172 0.0000  1 Sc 2.87, 2 Y 3.04
Sc3 0.0000 0.6828 0.0000  1 Sc 2.87, 2 Y 3.04
Sc4 0.5000 0.6828 0.0000  1 Sc 2.87, 2 Y 3.04
Er1 0.2500 0.2839 0.5678  1 Y 3.18, 4 Sc 3.31, 2 Tb 3.48
Er2 0.7500 0.7161 0.4322  1 Y 3.18, 4 Sc 3.31, 2 Tb 3.48

[3]
Compound: HfScZn3
Source: Alexandria via LeMat-Bulk
Functional: GGA-PBE
Structure: optimized geometry

energy of formation from the pure elements = -0.280 eV/atom
SG = No. 63
energy relative to the lowest polymorph listed for this composition = 0 meV/atom

abc: 3.1883 4.2899 13.2039
angles: 90.00 96.93 90.00
Closest atoms and distances in Å follow each position.
Element x y z (fractional)
Zn1 0.3796 0.2500 0.7592  3 Zn 2.53-2.55
Zn2 0.5239 0.7500 0.0478  3 Zn 2.48-2.53
Zn3 0.3270 0.7500 0.6541  2 Zn 2.55
Zn4 0.4761 0.2500 0.9522  3 Zn 2.48-2.53
Zn5 0.6730 0.2500 0.3459  2 Zn 2.55
Zn6 0.6204 0.7500 0.2408  3 Zn 2.53-2.55
Hf1 0.7825 0.2500 0.5650  7 Zn 2.87-3.00, 6 Hf 3.17-3.19
Hf2 0.2175 0.7500 0.4350  7 Zn 2.87-3.00, 6 Hf 3.17-3.19
Sc1 0.0740 0.2500 0.1479  12 Zn 2.94-3.05, 2 Sc 3.19
Sc2 0.9260 0.7500 0.8521  12 Zn 2.94-3.05, 2 Sc 3.19

What is the energy of formation from the pure elements in the first record?
0.130 eV/atom